# 1
A plane-wave DFT calculation with PBE-GGA was carried out for crystalline BC2 at its relaxed geometry.

Computed properties:
Total magnetic moment in μB/cell: 0.00
Symmetry: P1, No. 1
Energy relative to the elements in eV per atom: 0.368
Energy above the most stable polymorph in this dataset in eV per formula unit: 0.38

Cell lengths 4.5159, 4.5362, 4.6665 Å; angles 101.30, 102.26, 118.28 degrees
Closest atoms and distances in Å follow each position.
Fractional coordinates of all 12 atoms:
B  0.9962  0.7228  0.1495  3 C 1.55-1.57
B  0.3480  0.6373  0.9815  2 C 1.58-1.63, 1 B 1.74
B  0.8285  0.1649  0.5337  3 C 1.60-1.71
B  0.7311  0.0642  0.1063  2 C 1.59-1.65, 1 B 1.74
C  0.1689  0.8387  0.5097  3 C 1.54-1.58, 1 B 1.56
C  0.5021  0.4956  0.4968  4 C 1.57-1.59
C  0.3685  0.3610  0.1305  3 C 1.51-1.62, 1 B 1.58
C  0.2213  0.5546  0.6048  2 C 1.54-1.57, 2 B 1.63-1.71
C  0.6580  0.3378  0.9902  2 C 1.54-1.62, 2 B 1.55-1.59
C  0.5296  0.2093  0.6313  3 C 1.54-1.59, 1 B 1.60
C  0.0212  0.0017  0.9862  2 C 1.51-1.53, 2 B 1.57-1.65
C  0.8766  0.8620  0.6293  3 C 1.53-1.58, 1 B 1.62

# 2
A plane-wave DFT calculation with PBE-GGA was carried out for crystalline LiDyAu3 at its relaxed geometry.

Computed properties:
Total magnetic moment in μB/cell: 0.00
Symmetry: Pmmn, No. 59
Energy relative to the elements in eV per atom: -0.625

Cell lengths 4.6859, 6.5824, 6.2960 Å; angles 90.00, 89.96, 90.00 degrees
Closest atoms and distances in Å follow each position.
Fractional coordinates of all 10 atoms:
Li  0.2501  0.7500  0.9325  3 Au 2.44-2.55
Li  0.7499  0.2500  0.0675  3 Au 2.44-2.55
Dy  0.7499  0.7500  0.2678  8 Au 2.92-3.25, 2 Li 3.15
Dy  0.2501  0.2500  0.7322  8 Au 2.92-3.25, 2 Li 3.15
Au  0.2500  0.0412  0.1998  3 Li 2.55-2.84, 1 Au 2.75
Au  0.7500  0.9588  0.8002  3 Li 2.55-2.84, 1 Au 2.75
Au  0.2500  0.4588  0.1998  3 Li 2.55-2.84, 1 Au 2.75
Au  0.7500  0.5412  0.8002  3 Li 2.55-2.84, 1 Au 2.75
Au  0.2496  0.7500  0.5456  1 Li 2.44
Au  0.7504  0.2500  0.4544  1 Li 2.44

# 3
A plane-wave DFT calculation with PBE-GGA was carried out for crystalline La4HgN2 at its relaxed geometry.

Computed properties:
Total magnetic moment in μB/cell: 0.00
Symmetry: R-3m, No. 166
Formation energy without anion corrections in kJ/mol of formula units: -578

Cell lengths 3.7137, 3.7137, 15.1336 Å; angles 82.95, 82.95, 60.00 degrees
Closest atoms and distances in Å follow each position.
Fractional coordinates of all 7 atoms:
La  0.1232  0.1232  0.6304  3 N 2.54
La  0.2728  0.2728  0.1817  3 N 2.59
La  0.7272  0.7272  0.8183  3 N 2.59
La  0.8768  0.8768  0.3696  3 N 2.54
Hg  0.0000  0.0000  0.0000  6 La 3.47, 6 Hg 3.71
N  0.4261  0.4261  0.7218  6 La 2.54-2.59
N  0.5739  0.5739  0.2782  6 La 2.54-2.59

# 4
A plane-wave DFT calculation with PBE-GGA was carried out for crystalline Sr5Li4Zn at its relaxed geometry.

Computed properties:
Total magnetic moment in μB/cell: 0.00
Symmetry: P4/mmm, No. 123
Energy relative to the elements in eV per atom: -0.012

Cell lengths 4.1357, 4.1357, 20.9983 Å; angles 90.00, 90.00, 90.00 degrees
Closest atoms and distances in Å follow each position.
Fractional coordinates of all 10 atoms:
Sr  0.5000  0.5000  0.0890  4 Zn 3.47, 4 Li 3.65, 1 Sr 3.74
Sr  0.5000  0.5000  0.2956  8 Li 3.62-3.63
Sr  0.5000  0.5000  0.5000  8 Li 3.63
Sr  0.5000  0.5000  0.7044  8 Li 3.62-3.63
Sr  0.5000  0.5000  0.9110  4 Zn 3.47, 4 Li 3.65, 1 Sr 3.74
Li  0.0000  0.0000  0.1930  8 Sr 3.63-3.65, 1 Zn 4.05
Li  0.0000  0.0000  0.3973  8 Sr 3.62-3.63
Li  0.0000  0.0000  0.6027  8 Sr 3.62-3.63
Li  0.0000  0.0000  0.8070  8 Sr 3.63-3.65, 1 Zn 4.05
Zn  0.0000  0.0000  0.0000  8 Sr 3.47

# 5
A plane-wave DFT calculation with PBE-GGA was carried out for crystalline BaTlCu2 at its relaxed geometry.

Computed properties:
Total magnetic moment in μB/cell: 0.00
Symmetry: R-3m, No. 166
Energy relative to the elements in eV per atom: -0.026

Cell lengths 4.6220, 4.6220, 6.2783 Å; angles 68.46, 68.46, 59.97 degrees
Closest atoms and distances in Å follow each position.
Fractional coordinates of all 4 atoms:
Ba  0.2500  0.2500  0.2500  8 Cu 3.24-3.62
Cu  0.0597  0.0597  0.8201  3 Tl 2.70, 3 Cu 2.78-2.79
Cu  0.4403  0.4403  0.6799  3 Tl 2.70, 3 Cu 2.78-2.79
Tl  0.7500  0.7500  0.7500  6 Cu 2.70

# 6
A plane-wave DFT calculation with PBE-GGA was carried out for crystalline ErSO4F at its relaxed geometry.

Computed properties:
Total magnetic moment in μB/cell: 0.00
Symmetry: C2/m, No. 12
Formation energy without anion corrections in kJ/mol of formula units: -1710

Cell lengths 5.6339, 5.6339, 6.4026 Å; angles 77.59, 77.59, 75.70 degrees
Closest atoms and distances in Å follow each position.
Fractional coordinates of all 14 atoms:
Er  0.2079  0.2079  0.8761  2 F 2.17-2.19, 4 O 2.30-2.34
Er  0.7921  0.7921  0.1239  2 F 2.17-2.19, 4 O 2.30-2.34
S  0.6481  0.6481  0.7243  4 O 1.46-1.51
S  0.3519  0.3519  0.2757  4 O 1.46-1.51
O  0.2586  0.2586  0.5013  1 S 1.46
O  0.7414  0.7414  0.4987  1 S 1.46
O  0.1383  0.4782  0.1550  1 S 1.51
O  0.5194  0.5194  0.2552  1 S 1.46
O  0.5218  0.8617  0.8450  1 S 1.51
O  0.4782  0.1383  0.1550  1 S 1.51
O  0.4806  0.4806  0.7448  1 S 1.46
O  0.8617  0.5218  0.8450  1 S 1.51
F  0.0211  0.0211  0.1810  2 Er 2.17-2.19
F  0.9789  0.9789  0.8190  2 Er 2.17-2.19

# 7
A plane-wave DFT calculation with PBE-GGA was carried out for crystalline Cd2TcAu at its relaxed geometry.

Computed properties:
Total magnetic moment in μB/cell: 0.46
Symmetry: Pmmm, No. 47
Energy relative to the elements in eV per atom: 0.288
Energy above the most stable polymorph in this dataset in eV per formula unit: 0.25

Cell lengths 2.8623, 4.1680, 6.0992 Å; angles 90.00, 90.00, 90.00 degrees
Closest atoms and distances in Å follow each position.
Fractional coordinates of all 4 atoms:
Au  0.5000  0.5000  0.7500  2 Au 2.86, 8 Cd 2.98, 2 Tc 3.05
Cd  0.0000  0.0000  0.0083  4 Cd 2.86-3.15, 4 Tc 2.93, 4 Au 2.98
Cd  0.0000  0.0000  0.4917  4 Cd 2.86-3.15, 4 Tc 2.93, 4 Au 2.98
Tc  0.5000  0.5000  0.2500  2 Tc 2.86, 8 Cd 2.93, 2 Au 3.05

# 8
A plane-wave DFT calculation with PBE-GGA was carried out for crystalline AcEuAl at its relaxed geometry.

Computed properties:
Total magnetic moment in μB/cell: 7.01
Symmetry: P3m1, No. 156
Energy relative to the elements in eV per atom: -0.047
Energy above the most stable polymorph in this dataset in eV per formula unit: 0.26

Cell lengths 3.8380, 5.4264, 5.4264 Å; angles 120.00, 90.00, 90.00 degrees
Closest atoms and distances in Å follow each position.
Fractional coordinates of all 3 atoms:
Eu  0.3999  0.3333  0.6667  3 Al 3.25, 3 Ac 3.52
Ac  0.9793  0.0000  0.0000  3 Al 3.42, 3 Eu 3.52
Al  0.6208  0.6667  0.3333  3 Eu 3.25, 3 Ac 3.42

# 9
A plane-wave DFT calculation with PBE-GGA was carried out for crystalline NdDyY6Ho2 at its relaxed geometry.

Computed properties:
Total magnetic moment in μB/cell: 0.00
Symmetry: C2/c, No. 15
Energy relative to the elements in eV per atom: 0.121

Cell lengths 9.6791, 8.7750, 8.7750 Å; angles 117.25, 94.52, 94.52 degrees
Closest atoms and distances in Å follow each position.
Fractional coordinates of all 20 atoms:
Nd  0.2500  0.4064  0.5936  6 Y 3.42-3.55, 2 Ho 3.56
Nd  0.7500  0.5936  0.4064  6 Y 3.42-3.55, 2 Ho 3.56
Dy  0.2500  0.9758  0.0242  4 Ho 3.37-3.38, 4 Y 3.54-3.63
Dy  0.7500  0.0242  0.9758  4 Ho 3.37-3.38, 4 Y 3.54-3.63
Y  0.0561  0.1189  0.7524  7 Y 3.42-3.81, 1 Ho 3.46, 1 Dy 3.63
Y  0.4439  0.2476  0.8811  7 Y 3.42-3.81, 1 Ho 3.46, 1 Dy 3.63
Y  0.9439  0.8811  0.2476  7 Y 3.42-3.81, 1 Ho 3.46, 1 Dy 3.63
Y  0.5561  0.7524  0.1189  7 Y 3.42-3.81, 1 Ho 3.46, 1 Dy 3.63
Y  0.3180  0.9778  0.4271  3 Y 3.24-3.62, 2 Ho 3.40-3.63, 1 Nd 3.50, 1 Dy 3.54
Y  0.1820  0.5729  0.0222  3 Y 3.24-3.62, 2 Ho 3.40-3.63, 1 Nd 3.50, 1 Dy 3.54
Y  0.6820  0.0222  0.5729  3 Y 3.24-3.62, 2 Ho 3.40-3.63, 1 Nd 3.50, 1 Dy 3.54
Y  0.8180  0.4271  0.9778  3 Y 3.24-3.62, 2 Ho 3.40-3.63, 1 Nd 3.50, 1 Dy 3.54
Y  0.1189  0.7058  0.4948  4 Y 3.24-3.58, 3 Ho 3.28-3.44, 2 Nd 3.42-3.55
Y  0.3811  0.5052  0.2942  4 Y 3.24-3.58, 3 Ho 3.28-3.44, 2 Nd 3.42-3.55
Y  0.8811  0.2942  0.5052  4 Y 3.24-3.58, 3 Ho 3.28-3.44, 2 Nd 3.42-3.55
Y  0.6189  0.4948  0.7058  4 Y 3.24-3.58, 3 Ho 3.28-3.44, 2 Nd 3.42-3.55
Ho  0.4541  0.8075  0.7070  6 Y 3.28-3.63, 2 Dy 3.37-3.38, 1 Nd 3.56
Ho  0.0459  0.2930  0.1925  6 Y 3.28-3.63, 2 Dy 3.37-3.38, 1 Nd 3.56
Ho  0.5459  0.1925  0.2930  6 Y 3.28-3.63, 2 Dy 3.37-3.38, 1 Nd 3.56
Ho  0.9541  0.7070  0.8075  6 Y 3.28-3.63, 2 Dy 3.37-3.38, 1 Nd 3.56

# 10
A plane-wave DFT calculation with PBE-GGA was carried out for crystalline LiSmGdY at its relaxed geometry.

Computed properties:
Total magnetic moment in μB/cell: 7.24
Symmetry: F-43m, No. 216
Energy relative to the elements in eV per atom: 0.182

Cell lengths 5.5359, 5.5359, 5.5359 Å; angles 60.00, 60.00, 60.00 degrees
Closest atoms and distances in Å follow each position.
Fractional coordinates of all 4 atoms:
Y  0.7500  0.7500  0.7500  4 Gd 3.39, 4 Li 3.39
Gd  0.5000  0.5000  0.5000  4 Sm 3.39, 4 Y 3.39
Sm  0.2500  0.2500  0.2500  4 Gd 3.39, 4 Li 3.39
Li  0.0000  0.0000  0.0000  4 Y 3.39, 4 Sm 3.39

# 11
A plane-wave DFT calculation with PBE-GGA was carried out for crystalline PmAlTe3 at its relaxed geometry.

Computed properties:
Total magnetic moment in μB/cell: 0.00
Symmetry: P2_1/c, No. 14
Formation energy without anion corrections in kJ/mol of formula units: -408
Energy above the most stable polymorph in this dataset in eV per formula unit: 0.30

Cell lengths 7.6411, 7.9631, 10.7887 Å; angles 90.00, 96.57, 90.00 degrees
Closest atoms and distances in Å follow each position.
Fractional coordinates of all 20 atoms:
Pm  0.9351  0.6309  0.2797  7 Te 3.14-3.42
Pm  0.5649  0.1309  0.2203  7 Te 3.14-3.42
Pm  0.0649  0.3691  0.7203  7 Te 3.14-3.42
Pm  0.4351  0.8691  0.7797  7 Te 3.14-3.42
Al  0.3487  0.6816  0.1246  4 Te 2.60-2.78
Al  0.1513  0.1816  0.3754  4 Te 2.60-2.78
Al  0.6513  0.3184  0.8754  4 Te 2.60-2.78
Al  0.8487  0.8184  0.6246  4 Te 2.60-2.78
Te  0.1479  0.7006  0.5661  1 Al 2.61
Te  0.3521  0.2006  0.9339  1 Al 2.61
Te  0.8521  0.2994  0.4339  1 Al 2.61
Te  0.6479  0.7994  0.0661  1 Al 2.61
Te  0.8457  0.0463  0.8052  2 Al 2.66-2.78
Te  0.6543  0.5463  0.6948  2 Al 2.66-2.78
Te  0.1543  0.9537  0.1948  2 Al 2.66-2.78
Te  0.3457  0.4537  0.3052  2 Al 2.66-2.78
Te  0.6522  0.8281  0.4113  1 Al 2.60
Te  0.8478  0.3281  0.0887  1 Al 2.60
Te  0.3478  0.1719  0.5887  1 Al 2.60
Te  0.1522  0.6719  0.9113  1 Al 2.60

> Which of these has the highest total magnetic moment?

LiSmGdY

> Which of these has the highest total magnetic moment?

LiSmGdY